Here is an optimized crystal structure of Cs2CuAgP from Alexandria. Energies are from GGA-PBE.

It has space group P4/mmm (No. 123), with a = 6.9524 Å, b = 6.9524 Å, c = 4.2211 Å, α = 90.00°, β = 90.00° and γ = 90.00°. Symmetry generates all atoms from Cs at (0.0000, 0.5000, 0.0000), Cu at (0.0000, 0.0000, 0.0000), Ag at (0.5000, 0.5000, 0.5000) and P at (0.0000, 0.0000, 0.5000).

The volume is 40.8 A^3/atom. As for the final energy: -2.79 eV/atom. The magnetization is 0.0 μB/f.u. The calculation puts the formation energy at 0.0233 eV/atom. The calculation puts the energy above the most stable polymorph in this dataset at 0.000 eV/f.u. For the calculated density, the calculation gives 3.811 Mg/m³.

=====

Here is an optimized crystal structure of RbAlSn from Alexandria. Energies are from GGA-PBE.

It has space group Pnma (No. 62), with a = 7.5125 Å, b = 4.5539 Å, c = 13.7750 Å, α = 90.00°, β = 90.00° and γ = 90.00°. Symmetry generates all atoms from Rb at (0.1291, 0.2500, 0.1535), Al at (0.0417, 0.7500, 0.3720) and Sn at (0.1716, 0.2500, 0.4596).

The volume is 39.3 A^3/atom. As for the final energy: -2.80 eV/atom. The magnetization is 0.0 μB/f.u. The calculation puts the formation energy at 0.1024 eV/atom. For the calculated density, the calculation gives 3.258 Mg/m³.

=====

Here is an optimized crystal structure of ZnCo2Au from Alexandria. Energies are from GGA-PBE.

It has space group C2/m (No. 12), with a = 8.9052 Å, b = 2.7415 Å, c = 4.5451 Å, α = 90.00°, β = 100.96° and γ = 90.00°. Symmetry generates all atoms from Zn at (0.0000, 0.0000, 0.0000), Co at (0.2473, 0.5000, 0.2279) and Au at (0.0000, 0.5000, 0.5000).

The volume is 13.6 A^3/atom. As for the final energy: -4.55 eV/atom. The magnetization is 3.1 μB/f.u. The calculation puts the formation energy at 0.1436 eV/atom. For the calculated density, the calculation gives 11.592 Mg/m³.

=====

Here is an optimized crystal structure of MnGaBrCl4 from Alexandria. Energies are from GGA-PBE.

It has space group C2/m (No. 12), with a = 13.4872 Å, b = 7.3838 Å, c = 10.9824 Å, α = 90.00°, β = 120.91° and γ = 90.00°. Symmetry generates all atoms from Mn at (0.0559, 0.0000, 0.1862), Ga at (0.1346, 0.5000, 0.3579), Br at (0.1495, 0.0000, 0.0400), Cl at (0.0106, 0.2634, 0.2876), Cl at (0.2211, 0.5000, 0.5920) and Cl at (0.2385, 0.5000, 0.2628).

The volume is 33.5 A^3/atom. As for the final energy: -4.06 eV/atom. The magnetization is 5.0 μB/f.u. The value obtained for the formation energy from raw total energies is -1023 meV/atom. For the calculated density, the calculation gives 2.452 Mg/m³.

=====

Here is an optimized crystal structure of TcPbO4 from Alexandria. Energies are from GGA-PBE.

It has space group P2_1/c (No. 14), with a = 5.9772 Å, b = 5.1733 Å, c = 5.5666 Å, α = 90.00°, β = 104.72° and γ = 90.00°. Symmetry generates all atoms from Tc at (0.0000, 0.0000, 0.0000), Pb at (0.5000, 0.0000, 0.5000), O at (0.0938, 0.2192, 0.3013) and O at (0.3033, 0.6203, 0.5785).

The volume is 13.9 A^3/atom. As for the final energy: -6.87 eV/atom. The magnetization is 0.0 μB/f.u. The value obtained for the formation energy from raw total energies is -1219 meV/atom. The calculation puts the energy above the most stable polymorph in this dataset at 0.493 eV/f.u. For the calculated density, the calculation gives 7.365 Mg/m³.

=====

Here is an optimized crystal structure of HfP2OsS from Alexandria. Energies are from GGA-PBE.

It has space group P4/mmm (No. 123), with a = 4.9865 Å, b = 4.9865 Å, c = 4.7180 Å, α = 90.00°, β = 90.00° and γ = 90.00°. Symmetry generates all atoms from Hf at (0.0000, 0.0000, 0.0000), P at (0.0000, 0.5000, 0.0000), Os at (0.5000, 0.5000, 0.5000) and S at (0.0000, 0.0000, 0.5000).

The volume is 23.5 A^3/atom. As for the final energy: -6.04 eV/atom. The magnetization is 2.8 μB/f.u. The value obtained for the formation energy from raw total energies is 1184 meV/atom. The calculation puts the energy above the most stable polymorph in this dataset at 3.234 eV/f.u. For the calculated density, the calculation gives 6.550 Mg/m³.

=====

Here is an optimized crystal structure of NbCr2Ga from Alexandria. Energies are from GGA-PBE.

It has space group I-42d (No. 122), with a = 6.8327 Å, b = 6.8327 Å, c = 5.2267 Å, α = 90.00°, β = 90.00° and γ = 90.00°. Symmetry generates all atoms from Nb at (0.0000, 0.0000, 0.0000), Cr at (0.2438, 0.2500, 0.6250) and Ga at (0.0000, 0.0000, 0.5000).

The volume is 15.3 A^3/atom. As for the final energy: -7.37 eV/atom. The magnetization is 0.0 μB/f.u. The calculation puts the formation energy at 0.7208 eV/atom. For the calculated density, the calculation gives 7.258 Mg/m³.

=====

Here is an optimized crystal structure of Nd2CuBiO5 from Alexandria. Energies are from GGA-PBE.

It has space group P4/mbm (No. 127), with a = 6.7859 Å, b = 6.7859 Å, c = 6.5002 Å, α = 90.00°, β = 90.00° and γ = 90.00°. Symmetry generates all atoms from Nd at (0.1744, 0.3256, 0.0000), Cu at (0.0000, 0.0000, 0.5000), Bi at (0.0000, 0.5000, 0.5000), O at (0.0000, 0.0000, 0.0000) and O at (0.1465, 0.6465, 0.2322).

The volume is 16.6 A^3/atom. As for the final energy: -6.44 eV/atom. The magnetization is 0.0 μB/f.u. The value obtained for the formation energy from raw total energies is -1738 meV/atom. For the calculated density, the calculation gives 7.112 Mg/m³.